TbPrSm4Tm2: optimized geometry, PBE.

Summary:
Calculated total energy   -4.638 eV per atom

a b c (Å): 10.123 10.181 12.422
angles (deg): 114.20 144.57 89.97
Positions (direct):
Pr1 0.000 0.500 0.000
Pr2 0.000 0.500 0.500
Tm1 0.500 0.500 0.000
Tm2 0.500 0.000 0.000
Tm3 0.500 0.000 0.500
Tm4 0.000 0.000 0.500
Sm1 0.746 0.248 0.997
Sm2 0.248 0.248 0.499
Sm3 0.752 0.752 0.501
Sm4 0.751 0.752 0.003
Sm5 0.250 0.752 0.501
Sm6 0.254 0.752 0.003
Sm7 0.249 0.248 0.997
Sm8 0.750 0.248 0.499
Tb1 0.500 0.500 0.500
Tb2 0.000 0.000 0.000

***

Tb4Pr2Sm2Tm: optimized geometry, PBE.

Summary:
Calculated total energy   -4.660 eV per atom

a b c (Å): 3.635 9.597 9.660
angles (deg): 115.16 90.00 100.92
Positions (direct):
Pr1 0.665 0.329 0.000
Pr2 0.335 0.671 0.000
Tb1 0.481 0.962 0.668
Tb2 0.519 0.038 0.332
Tb3 0.185 0.370 0.335
Tb4 0.815 0.630 0.665
Sm1 0.147 0.294 0.663
Sm2 0.853 0.706 0.337
Tm1 0.000 0.000 0.000

***

TbPrSmTm2: optimized geometry, PBE.

Summary:
Calculated total energy   -4.244 eV per atom

a b c (Å): 7.175 8.400 7.130
angles (deg): 126.09 90.00 90.00
Positions (direct):
Pr1 0.750 0.270 0.541
Pr2 0.250 0.730 0.459
Tb1 0.250 0.280 0.560
Tb2 0.750 0.720 0.440
Tm1 0.000 0.687 0.000
Tm2 0.500 0.687 0.000
Tm3 0.500 0.313 0.000
Tm4 0.000 0.313 0.000
Sm1 0.750 0.998 0.996
Sm2 0.250 0.002 0.004

***

Tb2Pr6SmTm: optimized geometry, PBE.

Summary:
Calculated total energy   -4.599 eV per atom

a b c (Å): 9.710 9.035 9.035
angles (deg): 117.70 93.72 93.72
Positions (direct):
Pr1 0.810 0.435 0.994
Pr2 0.617 0.490 0.707
Pr3 0.883 0.293 0.510
Pr4 0.383 0.510 0.293
Pr5 0.310 0.994 0.435
Pr6 0.446 0.239 0.882
Pr7 0.554 0.761 0.118
Pr8 0.117 0.707 0.490
Pr9 0.054 0.118 0.761
Pr10 0.690 0.006 0.565
Pr11 0.946 0.882 0.239
Pr12 0.190 0.565 0.006
Tb1 0.454 0.799 0.700
Tb2 0.046 0.300 0.201
Tb3 0.546 0.201 0.300
Tb4 0.954 0.700 0.799
Sm1 0.750 0.026 0.974
Sm2 0.250 0.974 0.026
Tm1 0.750 0.587 0.413
Tm2 0.250 0.413 0.587

***

The evaluated total magnetic moment for the records listed, in turn: 0.00 0.00 0.00 0.00 Bohr magnetons per cell.